HfB4H16 GGA-PBEsol optimized geometry; space group = P-43m; mass density = 2.2 Mg/m³; M_tot = 0.0 μB per formula unit; electronic total energy = -94.72 eV per cell
1.0
-2.5166 1.3605 -4.8798
-5.0406 -1.2170 2.2601
-0.5066 5.3540 1.7537
H B Hf
16 4 1
Cartesian
-4.4767 3.1562 0.8723
-0.8662 1.7502 -0.7912
-3.6799 5.9608 -1.2714
-2.8481 1.9417 -0.3059
-5.0668 1.9840 -1.0749
-6.0052 3.1026 2.2362
-6.9572 1.2113 -0.9054
-1.4952 1.1079 0.9882
-3.7358 3.9129 -1.2236
-2.2978 4.9299 -2.2716
-4.8753 4.7401 2.1100
-5.5749 0.1806 -1.9056
-4.1809 4.9656 -2.9245
-6.3282 1.8536 -2.6847
-4.1221 3.0669 2.8889
-1.9962 0.1127 -0.6650
-5.9282 1.3470 -1.6094
-4.8468 3.4954 1.9593
-3.4889 4.8820 -1.8818
-1.8627 1.2699 -0.2001
-8.0637 5.4974 -0.8660